! Sr2VBrO4 GGA-PBEsol optimized geometry; values from VASP
! ΔE_f (raw) (eV per formula unit): -22.4
! Space-group type: Pbcm, No. 57
! Volume (Å³/cell): 558.4
&SYSTEM
  ibrav = 0, nat = 32, ntyp = 4
/
ATOMIC_SPECIES
Sr 87.62 Sr.upf
V 50.94 V.upf
Br 79.90 Br.upf
O 16.00 O.upf
ATOMIC_POSITIONS crystal
Sr 0.118 0.250 0.000
Sr 0.118 0.250 0.500
Sr 0.381 0.534 0.250
Sr 0.381 0.966 0.750
Sr 0.619 0.034 0.250
Sr 0.619 0.466 0.750
Sr 0.882 0.750 0.000
Sr 0.882 0.750 0.500
V 0.380 0.750 0.000
V 0.380 0.750 0.500
V 0.620 0.250 0.000
V 0.620 0.250 0.500
Br 0.060 0.628 0.750
Br 0.060 0.872 0.250
Br 0.940 0.128 0.750
Br 0.940 0.372 0.250
O 0.222 0.574 0.030
O 0.222 0.574 0.470
O 0.222 0.926 0.530
O 0.222 0.926 0.970
O 0.460 0.227 0.619
O 0.460 0.227 0.881
O 0.460 0.273 0.119
O 0.460 0.273 0.381
O 0.540 0.727 0.619
O 0.540 0.727 0.881
O 0.540 0.773 0.119
O 0.540 0.773 0.381
O 0.778 0.074 0.030
O 0.778 0.074 0.470
O 0.778 0.426 0.530
O 0.778 0.426 0.970
CELL_PARAMETERS angstrom
6.483 0.000 0.000
0.000 7.490 0.000
0.000 0.000 11.500

***

! TaBrO2 GGA-PBEsol optimized geometry; values from VASP
! ΔE_f (raw) (eV per formula unit): -0.5
! Space-group type: R-3m, No. 166
! Volume (Å³/cell): 62.7
&SYSTEM
  ibrav = 0, nat = 4, ntyp = 3
/
ATOMIC_SPECIES
Ta 180.95 Ta.upf
Br 79.90 Br.upf
O 16.00 O.upf
ATOMIC_POSITIONS crystal
Ta 0.000 0.000 0.000
Br 0.500 0.500 0.500
O 0.079 0.079 0.079
O 0.921 0.921 0.921
CELL_PARAMETERS angstrom
1.527 0.882 7.769
-1.527 0.882 7.769
0.000 -1.763 7.769

***

! TcBrO2 GGA-PBEsol optimized geometry; values from VASP
! ΔE_f (raw) (eV per formula unit): -3.1
! Space-group type: R-3m, No. 166
! Volume (Å³/cell): 65.6
&SYSTEM
  ibrav = 0, nat = 4, ntyp = 3
/
ATOMIC_SPECIES
Tc 98.00 Tc.upf
Br 79.90 Br.upf
O 16.00 O.upf
ATOMIC_POSITIONS crystal
Tc 0.000 0.000 0.000
Br 0.500 0.500 0.500
O 0.375 0.375 0.375
O 0.625 0.625 0.625
CELL_PARAMETERS angstrom
1.424 0.822 9.332
-1.424 0.822 9.332
0.000 -1.644 9.332